Sr2Hg: optimized geometry, PBE.

CIF file:
```
data_Sr2Hg
_symmetry_space_group_name_H-M 'P 6/m m m'
_symmetry_Int_Tables_number 191
_symmetry_space_group_name_Hall '-P 6 2'
_cell_length_a 5.8123
_cell_length_b 5.8123
_cell_length_c 3.6065
_cell_angle_alpha 90.00
_cell_angle_beta 90.00
_cell_angle_gamma 120.00
loop_
_atom_site_label
_atom_site_type_symbol
_atom_site_fract_x
_atom_site_fract_y
_atom_site_fract_z
_atom_site_occupancy
Sr1 Sr 0.3333 0.6667 0.0000 1
Hg1 Hg 0.0000 0.0000 0.5000 1
```

Properties
Energy of formation from the pure elements in meV/atom: 9.6
Crystal system: hexagonal

AcAg2C2O6: optimized geometry, PBE.

CIF file:
```
data_AcAg2C2O6
_symmetry_space_group_name_H-M 'P -3'
_symmetry_Int_Tables_number 147
_cell_length_a 5.0173
_cell_length_b 5.0173
_cell_length_c 8.1255
_cell_angle_alpha 90.00
_cell_angle_beta 90.00
_cell_angle_gamma 120.00
loop_
_symmetry_equiv_pos_as_xyz
'x,y,z'
'-x,-y,-z'
'-y,x-y,z'
'y,-x+y,-z'
'-x+y,-x,z'
'x-y,x,-z'
loop_
_atom_site_label
_atom_site_type_symbol
_atom_site_fract_x
_atom_site_fract_y
_atom_site_fract_z
_atom_site_occupancy
Ac1 Ac 0.0000 0.0000 0.0000 1
Ag1 Ag 0.3333 0.6667 0.4097 1
C1 C 0.3333 0.6667 0.8177 1
O1 O 0.0482 0.4467 0.8208 1
```

Properties
Raw formation energy in eV/atom: -1.4526
Crystal system: trigonal

| no. | magnetization (μB per formula unit) |
| --- | --- |
| 1 | 0.00 |
| 2 | 0.00 |